# SiIrSe2Br

An optimized crystal structure of SiIrSe2Br (PBE, the Alexandria database).

Cell and atoms, written as extended XYZ:
```
5
Lattice="-0.220 4.790 -0.452 -2.927 0.226 3.818 3.799 0.447 2.885" Properties=species:S:1:pos:R:3 pbc="T T T"
Br 1.899 0.224 1.443
Si 0.000 0.000 0.000
Se -0.110 2.395 -0.226
Se -1.463 0.113 1.909
Ir 0.326 2.731 3.126
```

Computed properties:
Spin magnetization (μB/f.u.): 2.391
Fermi-level density of states (states/eV per cell): 4.9
Raw total energy (eV per atom): -3.496
Offset from the most stable computed form (eV/atom): 0.4179
Formation energy without anion corrections (meV per atom): 1090


# SrIn2Au

An optimized crystal structure of SrIn2Au (PBE, the Alexandria database).

Cell and atoms, written as extended XYZ:
```
8
Lattice="4.531 0.000 0.000 0.000 4.531 0.000 2.265 2.265 11.405" Properties=species:S:1:pos:R:3 pbc="T T T"
Sr 2.265 2.265 0.000
Sr 2.265 4.531 5.702
In 0.979 3.398 2.851
In 3.398 3.245 8.554
In 3.551 1.133 2.851
In 5.663 5.817 8.554
Au 0.000 0.000 0.000
Au 4.531 2.265 5.702
```

Computed properties:
Spin magnetization (μB/f.u.): 0.000
Fermi-level density of states (states/eV per cell): 4.7
Raw total energy (eV per atom): -2.882
Formation enthalpy at 0 K (meV per atom): -272.8


# Tb3Pr6DyTm2

An optimized crystal structure of Tb3Pr6DyTm2 (PBE, the Alexandria database).

Cell and atoms, written as extended XYZ:
```
12
Lattice="6.300 -0.001 0.009 -3.149 5.457 0.009 -1.065 -1.845 11.680" Properties=species:S:1:pos:R:3 pbc="T T T"
Tm 3.150 1.818 0.009
Tm 0.000 3.638 0.009
Tb -2.106 3.624 5.849
Tb 1.043 1.806 5.849
Tb 4.191 -0.013 5.849
Dy 0.000 0.000 0.000
Pr 3.139 1.794 8.792
Pr -0.012 -0.021 8.783
Pr 2.100 -0.005 2.907
Pr 2.097 3.632 2.916
Pr -1.054 1.817 2.907
Pr -0.015 3.616 8.792
```

Computed properties:
Spin magnetization (μB/f.u.): 0.000
Fermi-level density of states (states/eV per cell): 13.0
Raw total energy (eV per atom): -4.664
Formation enthalpy at 0 K (meV per atom): 12.5


# Sm2HoTm7

An optimized crystal structure of Sm2HoTm7 (PBE, the Alexandria database).

Cell and atoms, written as extended XYZ:
```
10
Lattice="5.798 1.767 0.586 2.194 7.378 -1.633 0.927 1.432 7.684" Properties=species:S:1:pos:R:3 pbc="T T T"
Tm 3.996 4.572 -0.524
Tm 2.127 6.474 1.760
Tm 1.062 3.234 0.875
Tm 5.058 7.801 0.346
Tm 3.861 2.775 6.291
Tm 7.857 7.343 5.762
Tm 6.792 4.102 4.877
Ho 0.000 0.000 0.000
Sm 4.994 6.915 3.766
Sm 3.925 3.661 2.871
```

Computed properties:
Spin magnetization (μB/f.u.): 0.000
Fermi-level density of states (states/eV per cell): 12.9
Raw total energy (eV per atom): -4.508
Offset from the most stable computed form (eV/atom): 0.0000
Formation enthalpy at 0 K (meV per atom): 23.3


# Ce2MoC2

An optimized crystal structure of Ce2MoC2 (PBE, the Alexandria database).

Cell and atoms, written as extended XYZ:
```
10
Lattice="-3.229 2.665 3.218 -0.925 -6.053 -0.248 5.203 1.757 3.766" Properties=species:S:1:pos:R:3 pbc="T T T"
C 2.278 -0.571 2.758
C -1.229 -1.062 3.978
C 2.384 2.671 4.513
C -1.335 -4.303 2.223
Ce 0.329 -2.355 2.281
Ce -2.907 -2.811 3.742
Ce 3.957 1.179 2.994
Ce 0.720 0.723 4.455
Mo 2.770 -1.838 4.301
Mo -1.720 0.206 2.435
```

Computed properties:
Spin magnetization (μB/f.u.): 0.000
Fermi-level density of states (states/eV per cell): 12.6
Raw total energy (eV per atom): -8.404
Formation enthalpy at 0 K (meV per atom): -174.4


# ZrPaNbRh

An optimized crystal structure of ZrPaNbRh (PBE, the Alexandria database).

Cell and atoms, written as extended XYZ:
```
4
Lattice="4.832 0.000 0.000 2.416 4.185 0.000 2.416 1.395 3.946" Properties=species:S:1:pos:R:3 pbc="T T T"
Nb 0.000 0.000 0.000
Rh 4.832 2.790 1.973
Zr 2.416 1.395 0.986
Pa 7.249 4.185 2.959
```

Computed properties:
Spin magnetization (μB/f.u.): 0.000
Fermi-level density of states (states/eV per cell): 3.2
Raw total energy (eV per atom): -9.169
Formation enthalpy at 0 K (meV per atom): -302.3


# AcAgSeS

An optimized crystal structure of AcAgSeS (PBE, the Alexandria database).

Cell and atoms, written as extended XYZ:
```
4
Lattice="-1.831 -4.781 0.378 2.749 -3.951 -1.787 2.149 -3.320 3.273" Properties=species:S:1:pos:R:3 pbc="T T T"
Ag 1.533 -6.026 0.932
Ac 0.000 0.000 0.000
S 0.767 -3.013 0.466
Se 2.300 -9.039 1.398
```

Computed properties:
Spin magnetization (μB/f.u.): 0.000
Raw total energy (eV per atom): -4.829
Offset from the most stable computed form (eV/atom): 0.1652
Formation energy without anion corrections (meV per atom): -1186


# NiMoBr2

An optimized crystal structure of NiMoBr2 (PBE, the Alexandria database).

Cell and atoms, written as extended XYZ:
```
4
Lattice="-4.163 -3.631 5.703 -1.163 -3.906 6.814 -2.822 -1.205 7.323" Properties=species:S:1:pos:R:3 pbc="T T T"
Br -4.067 -4.363 9.902
Br -0.008 -0.008 0.019
Mo -2.037 -2.185 4.960
Ni -6.111 -6.556 14.881
```

Computed properties:
Spin magnetization (μB/f.u.): 0.000
Fermi-level density of states (states/eV per cell): 3.7
Raw total energy (eV per atom): -4.430
Offset from the most stable computed form (eV/atom): 0.5174
Formation energy without anion corrections (meV per atom): 560


# Pr3Zn8Cd3

An optimized crystal structure of Pr3Zn8Cd3 (PBE, the Alexandria database).

Cell and atoms, written as extended XYZ:
```
14
Lattice="4.576 0.000 0.000 2.288 8.286 0.520 2.288 2.756 7.831" Properties=species:S:1:pos:R:3 pbc="T T T"
Zn 4.576 2.383 4.914
Zn 6.864 6.594 6.545
Zn 4.576 5.664 7.395
Zn 4.576 8.658 3.437
Zn 2.288 4.447 1.806
Zn 6.864 8.093 4.563
Zn 4.576 5.377 0.955
Zn 2.288 2.949 3.787
Pr 4.576 8.808 6.662
Pr 4.576 2.233 1.689
Pr 4.576 5.521 4.175
Cd 2.288 0.000 0.000
Cd 2.288 7.152 2.018
Cd 2.288 3.889 6.332
```

Computed properties:
Spin magnetization (μB/f.u.): 0.000
Fermi-level density of states (states/eV per cell): 7.1
Raw total energy (eV per atom): -2.267
Formation enthalpy at 0 K (meV per atom): -318.6


# Zn4CuNi7

An optimized crystal structure of Zn4CuNi7 (PBE, the Alexandria database).

Cell and atoms, written as extended XYZ:
```
12
Lattice="-4.861 -1.320 0.716 -4.514 -4.391 -2.478 0.718 -6.032 2.880" Properties=species:S:1:pos:R:3 pbc="T T T"
Zn -5.191 -5.590 -0.367
Zn -3.465 -6.153 1.485
Zn -1.762 -3.071 0.690
Zn -6.894 -8.672 0.428
Ni -1.023 -5.482 1.106
Ni -4.493 -8.004 0.058
Ni -3.480 -2.557 -1.060
Ni -4.164 -3.738 1.060
Ni -2.430 -0.660 0.358
Ni -7.634 -6.261 0.012
Ni -5.176 -9.186 2.178
Cu 0.000 0.000 0.000
```

Computed properties:
Spin magnetization (μB/f.u.): 0.002
Fermi-level density of states (states/eV per cell): 11.5
Raw total energy (eV per atom): -4.259
Offset from the most stable computed form (eV/atom): 0.0000
Formation enthalpy at 0 K (meV per atom): -120.6


# TlAsSe3

An optimized crystal structure of TlAsSe3 (PBE, the Alexandria database).

Cell and atoms, written as extended XYZ:
```
5
Lattice="-4.650 2.223 -0.290 -2.121 -4.578 -1.088 -0.726 -0.861 5.037" Properties=species:S:1:pos:R:3 pbc="T T T"
Tl -3.748 -1.608 1.830
As 0.000 0.000 0.000
Se -0.363 -0.430 2.519
Se -1.060 -2.289 -0.544
Se -2.325 1.111 -0.145
```

Computed properties:
Spin magnetization (μB/f.u.): 0.000
Fermi-level density of states (states/eV per cell): 6.7
Raw total energy (eV per atom): -3.359
Offset from the most stable computed form (eV/atom): 0.3194
Formation energy without anion corrections (meV per atom): 135


# La3Sm2Tm5

An optimized crystal structure of La3Sm2Tm5 (PBE, the Alexandria database).

Cell and atoms, written as extended XYZ:
```
20
Lattice="8.280 1.572 -3.865 0.210 8.396 -3.915 -1.543 -1.737 11.000" Properties=species:S:1:pos:R:3 pbc="T T T"
Sm 2.899 5.530 3.436
Sm 1.738 8.207 -1.852
Sm 5.210 0.025 5.072
Sm 4.049 2.702 -0.216
Tm 1.973 0.342 6.045
Tm 6.073 5.136 2.297
Tm 4.640 3.481 5.796
Tm 3.368 6.024 0.213
Tm 7.426 2.639 0.298
Tm 4.975 7.889 -2.825
Tm 0.875 3.095 0.923
Tm 3.580 2.208 3.007
Tm -0.478 5.592 2.922
Tm 2.307 4.750 -2.576
La 5.745 4.679 -1.924
La 6.290 1.275 -2.690
La 1.203 3.553 5.144
La 0.658 6.957 5.910
La -0.048 6.122 -0.381
La 6.996 2.110 3.601
```

Computed properties:
Spin magnetization (μB/f.u.): 0.000
Fermi-level density of states (states/eV per cell): 29.8
Raw total energy (eV per atom): -4.476
Formation enthalpy at 0 K (meV per atom): 181.3


# Rb2Ir2Os

An optimized crystal structure of Rb2Ir2Os (PBE, the Alexandria database).

Cell and atoms, written as extended XYZ:
```
10
Lattice="6.418 0.000 0.000 0.000 6.418 0.000 0.000 0.000 5.941" Properties=species:S:1:pos:R:3 pbc="T T T"
Ir 0.859 2.350 0.000
Ir 5.559 4.068 0.000
Ir 2.350 5.559 0.000
Ir 4.068 0.859 0.000
Rb 5.244 2.035 2.971
Rb 4.383 5.244 2.971
Rb 2.035 1.174 2.971
Rb 1.174 4.383 2.971
Os 0.000 0.000 0.000
Os 3.209 3.209 0.000
```

Computed properties:
Spin magnetization (μB/f.u.): 0.000
Fermi-level density of states (states/eV per cell): 14.4
Raw total energy (eV per atom): -5.469
Offset from the most stable computed form (eV/atom): 0.0000
Formation enthalpy at 0 K (meV per atom): 708.3


# CdIr

An optimized crystal structure of CdIr (PBE, the Alexandria database).

Cell and atoms, written as extended XYZ:
```
4
Lattice="-2.599 -0.777 -0.951 1.004 -1.067 2.473 -3.944 7.353 4.773" Properties=species:S:1:pos:R:3 pbc="T T T"
Cd -1.251 0.995 2.608
Cd -3.875 7.225 4.690
Ir -2.034 3.793 2.462
Ir -3.093 4.428 4.836
```

Computed properties:
Spin magnetization (μB/f.u.): 0.000
Fermi-level density of states (states/eV per cell): 1.6
Raw total energy (eV per atom): -4.691
Formation enthalpy at 0 K (meV per atom): 197.5


# LaMg3Hg

An optimized crystal structure of LaMg3Hg (PBE, the Alexandria database).

Cell and atoms, written as extended XYZ:
```
10
Lattice="6.105 0.000 0.000 0.000 7.096 -0.004 0.000 -3.552 6.136" Properties=species:S:1:pos:R:3 pbc="T T T"
Mg 1.528 5.056 1.167
Mg 4.577 -1.514 4.965
Mg 4.576 -0.005 2.350
Mg 4.579 1.504 4.965
Mg 1.526 3.551 3.784
Mg 1.529 2.042 1.164
Hg 3.053 7.094 -0.004
Hg 6.105 0.000 0.004
La 4.581 3.542 2.050
La 1.524 0.004 4.079
```

Computed properties:
Spin magnetization (μB/f.u.): 0.000
Fermi-level density of states (states/eV per cell): 5.7
Raw total energy (eV per atom): -2.119
Offset from the most stable computed form (eV/atom): 0.0820
Formation enthalpy at 0 K (meV per atom): -116.7


# LiPuHg2

An optimized crystal structure of LiPuHg2 (PBE, the Alexandria database).

Cell and atoms, written as extended XYZ:
```
4
Lattice="3.246 0.000 0.000 0.000 3.246 0.000 0.000 0.000 8.145" Properties=species:S:1:pos:R:3 pbc="T T T"
Pu 1.623 1.623 4.073
Hg 0.000 0.000 6.447
Hg 0.000 0.000 1.699
Li 1.623 1.623 0.000
```

Computed properties:
Spin magnetization (μB/f.u.): 5.904
Fermi-level density of states (states/eV per cell): 5.9
Raw total energy (eV per atom): -4.454
Formation enthalpy at 0 K (meV per atom): -241.9


# MgAlAgW2

An optimized crystal structure of MgAlAgW2 (PBE, the Alexandria database).

Cell and atoms, written as extended XYZ:
```
5
Lattice="4.645 0.000 0.000 0.000 4.718 0.000 0.000 0.000 4.645" Properties=species:S:1:pos:R:3 pbc="T T T"
Mg 2.323 2.359 2.323
W 2.323 0.000 0.000
W 0.000 0.000 2.323
Al 0.000 0.000 0.000
Ag 0.000 2.359 0.000
```

Computed properties:
Spin magnetization (μB/f.u.): 0.003
Fermi-level density of states (states/eV per cell): 7.9
Raw total energy (eV per atom): -5.326
Formation enthalpy at 0 K (meV per atom): 1493.1


# La2HIrRu

An optimized crystal structure of La2HIrRu (PBE, the Alexandria database).

Cell and atoms, written as extended XYZ:
```
5
Lattice="5.174 0.000 0.000 0.000 5.174 0.000 0.000 0.000 3.598" Properties=species:S:1:pos:R:3 pbc="T T T"
La 0.000 2.587 0.000
La 2.587 0.000 0.000
Ir 0.000 0.000 1.799
Ru 2.587 2.587 1.799
H 0.000 0.000 0.000
```

Computed properties:
Spin magnetization (μB/f.u.): 0.000
Fermi-level density of states (states/eV per cell): 2.6
Raw total energy (eV per atom): -6.613
Offset from the most stable computed form (eV/atom): 0.0548


# CaTlAg

An optimized crystal structure of CaTlAg (PBE, the Alexandria database).

Cell and atoms, written as extended XYZ:
```
3
Lattice="4.956 0.000 0.000 2.478 4.292 0.000 2.478 1.431 4.046" Properties=species:S:1:pos:R:3 pbc="T T T"
Tl 4.956 2.861 2.023
Ca 0.000 0.000 0.000
Ag 2.478 1.431 1.012
```

Computed properties:
Spin magnetization (μB/f.u.): 0.000
Fermi-level density of states (states/eV per cell): 2.3
Raw total energy (eV per atom): -2.597
Formation enthalpy at 0 K (meV per atom): -190.6


# BeRe2Ir

An optimized crystal structure of BeRe2Ir (PBE, the Alexandria database).

Cell and atoms, written as extended XYZ:
```
4
Lattice="4.739 0.000 -0.034 3.938 2.636 -0.034 0.719 0.218 4.429" Properties=species:S:1:pos:R:3 pbc="T T T"
Re 9.345 2.838 4.353
Re 4.750 1.443 2.190
Ir 2.349 0.713 1.090
Be 7.047 2.140 3.271
```

Computed properties:
Spin magnetization (μB/f.u.): 0.000
Fermi-level density of states (states/eV per cell): 3.9
Raw total energy (eV per atom): -9.337
Formation enthalpy at 0 K (meV per atom): 33.6